Record 1
Entry from the Alexandria database: crystalline Mo2WCS at its relaxed geometry (GGA-PBEsol).

a b c (Å): 4.3579 4.8069 4.8069
angles (deg): 90.00 90.00 90.00
Last column: magnetic moment on the atom in μB.
Atoms (fractional coordinates):
C 0.5000 0.5000 0.5000  -0.42
Mo 0.0000 0.0000 0.5000  1.36
Mo 0.0000 0.5000 0.0000  1.36
S 0.5000 0.0000 0.0000  0.00
W 0.0000 0.0000 0.0000  -0.19

Calculated values
DOS at the Fermi energy in states/eV per atom: 1.28
Energy relative to the elements, uncorrected in meV/atom: 2780
SG: P4/mmm, No. 123
Magnetic moment in μB per formula unit: 2.0



Record 2
Entry from the Alexandria database: crystalline NbAlCrTe2 at its relaxed geometry (GGA-PBEsol).

a b c (Å): 5.0001 5.3274 5.3274
angles (deg): 90.00 90.00 90.00
Last column: magnetic moment on the atom in μB.
Atoms (fractional coordinates):
Cr 0.5000 0.5000 0.5000  4.28
Nb 0.0000 0.0000 0.0000  0.20
Te 0.0000 0.0000 0.5000  -0.06
Te 0.0000 0.5000 0.0000  -0.06
Al 0.5000 0.0000 0.0000  0.01

Calculated values
DOS at the Fermi energy in states/eV per atom: 0.61
Energy relative to the elements, uncorrected in meV/atom: 779
SG: P4/mmm, No. 123
Magnetic moment in μB per formula unit: 5.2



Record 3
Entry from the Alexandria database: crystalline HgIr2Cl at its relaxed geometry (GGA-PBEsol).

a b c (Å): 4.1279 4.1279 4.7936
angles (deg): 115.50 115.50 90.00
Atoms (fractional coordinates):
Ir 0.7500 0.2500 0.5000
Ir 0.2500 0.7500 0.5000
Hg 0.0000 0.0000 0.0000
Cl 0.5000 0.5000 0.0000

Calculated values
DOS at the Fermi energy in states/eV per atom: 1.63
Energy relative to the elements, uncorrected in meV/atom: 1143
SG: I4/mmm, No. 139
Magnetic moment in μB per formula unit: 0.0



Record 4
Entry from the Alexandria database: crystalline IrPdO2F at its relaxed geometry (GGA-PBEsol).

a b c (Å): 3.6215 3.6215 6.0099
angles (deg): 90.00 90.00 90.00
Last column: magnetic moment on the atom in μB.
Atoms (fractional coordinates):
Ir 0.0000 0.0000 0.0000  0.00
O 0.0000 0.5000 0.0000  0.00
O 0.5000 0.0000 0.0000  0.00
Pd 0.5000 0.5000 0.5000  0.83
F 0.0000 0.0000 0.5000  0.11

Calculated values
DOS at the Fermi energy in states/eV per atom: 1.14
Energy relative to the elements, uncorrected in meV/atom: -124
SG: P4/mmm, No. 123
Magnetic moment in μB per formula unit: 1.0



Which value of DOS at the Fermi energy does entry 1 give? 1.28 states/eV per atom



Copy entry 3 word for word.
Entry from the Alexandria database: crystalline HgIr2Cl at its relaxed geometry (GGA-PBEsol).

a b c (Å): 4.1279 4.1279 4.7936
angles (deg): 115.50 115.50 90.00
Atoms (fractional coordinates):
Ir 0.7500 0.2500 0.5000
Ir 0.2500 0.7500 0.5000
Hg 0.0000 0.0000 0.0000
Cl 0.5000 0.5000 0.0000

Calculated values
DOS at the Fermi energy in states/eV per atom: 1.63
Energy relative to the elements, uncorrected in meV/atom: 1143
SG: I4/mmm, No. 139
Magnetic moment in μB per formula unit: 0.0



Repeat the second record exactly.
Entry from the Alexandria database: crystalline NbAlCrTe2 at its relaxed geometry (GGA-PBEsol).

a b c (Å): 5.0001 5.3274 5.3274
angles (deg): 90.00 90.00 90.00
Last column: magnetic moment on the atom in μB.
Atoms (fractional coordinates):
Cr 0.5000 0.5000 0.5000  4.28
Nb 0.0000 0.0000 0.0000  0.20
Te 0.0000 0.0000 0.5000  -0.06
Te 0.0000 0.5000 0.0000  -0.06
Al 0.5000 0.0000 0.0000  0.01

Calculated values
DOS at the Fermi energy in states/eV per atom: 0.61
Energy relative to the elements, uncorrected in meV/atom: 779
SG: P4/mmm, No. 123
Magnetic moment in μB per formula unit: 5.2